1.
A relaxed AlZn2Cu6Au2 crystal, computed with GGA-PBE.

abc: 4.943 9.281 5.649
angles: 138.95 90.00 105.44
Positions (direct):
Al (0.500, 0.000, 0.500)
Zn (0.295, 0.590, 0.667)
Zn (0.705, 0.410, 0.333)
Cu (0.845, 0.182, 0.359)
Cu (0.337, 0.182, 0.359)
Cu (0.727, 0.453, 0.962)
Cu (0.663, 0.818, 0.641)
Cu (0.155, 0.818, 0.641)
Cu (0.273, 0.547, 0.038)
Au (0.099, 0.198, 0.913)
Au (0.901, 0.802, 0.087)

Values from the calculation:
space-group type: No. 12
calculated formation energy: -0.041 eV/atom
spin magnetization: 0.0 μB/cell


2.
A relaxed DyAl3Au crystal, computed with GGA-PBE.

abc: 4.181 4.181 6.353
angles: 70.82 70.82 89.99
Positions (direct):
Au (0.017, 0.821, 0.672)
Al (0.151, 0.454, 0.404)
Al (0.798, 0.601, 0.110)
Al (0.651, 0.955, 0.404)
Dy (0.391, 0.194, 0.923)

Values from the calculation:
space-group type: No. 107
calculated formation energy: -0.581 eV/atom
spin magnetization: 0.0 μB/cell
E above lowest polymorph: 0.0 meV/atom


3.
A relaxed DyAl4Au12 crystal, computed with GGA-PBE.

abc: 7.713 7.713 7.713
angles: 109.47 109.47 109.47
Positions (direct):
Au (0.814, 0.156, 0.659)
Au (0.659, 0.503, 0.844)
Au (0.497, 0.156, 0.341)
Au (0.844, 0.659, 0.503)
Au (0.341, 0.186, 0.844)
Au (0.156, 0.659, 0.814)
Au (0.503, 0.844, 0.659)
Au (0.341, 0.497, 0.156)
Au (0.844, 0.341, 0.186)
Au (0.659, 0.814, 0.156)
Au (0.156, 0.341, 0.497)
Au (0.186, 0.844, 0.341)
Al (0.500, 0.000, 0.000)
Al (0.000, 0.000, 0.500)
Al (0.000, 0.500, 0.000)
Al (0.500, 0.500, 0.500)
Dy (0.000, 0.000, 0.000)

Values from the calculation:
space-group type: No. 204
calculated formation energy: -0.180 eV/atom
spin magnetization: 0.0 μB/cell


4.
A relaxed Dy2AlAu6 crystal, computed with GGA-PBE.

abc: 5.366 6.306 6.306
angles: 59.96 89.97 89.97
Positions (direct):
Au (0.302, 0.819, 0.362)
Au (0.302, 0.362, 0.819)
Au (0.698, 0.181, 0.638)
Au (0.698, 0.638, 0.181)
Au (0.302, 0.819, 0.819)
Au (0.698, 0.181, 0.181)
Dy (0.823, 0.667, 0.667)
Dy (0.177, 0.333, 0.333)
Al (0.000, 0.000, 0.000)

Values from the calculation:
space-group type: No. 164
calculated formation energy: -0.652 eV/atom
spin magnetization: 0.0 μB/cell


5.
A relaxed DyAl4Au8 crystal, computed with GGA-PBE.

abc: 5.570 7.070 7.070
angles: 81.07 66.80 66.80
Positions (direct):
Al (0.500, 0.500, 0.000)
Al (0.000, 0.500, 0.000)
Al (0.000, 0.000, 0.500)
Al (0.500, 0.000, 0.500)
Au (0.000, 0.677, 0.323)
Au (0.323, 0.677, 0.677)
Au (0.719, 0.781, 0.781)
Au (0.500, 0.219, 0.781)
Au (0.500, 0.781, 0.219)
Au (0.000, 0.323, 0.677)
Au (0.677, 0.323, 0.323)
Au (0.281, 0.219, 0.219)
Dy (0.000, 0.000, 0.000)

Values from the calculation:
space-group type: No. 139
calculated formation energy: -0.468 eV/atom
spin magnetization: 0.0 μB/cell


6.
A relaxed Dy2Al3Au5 crystal, computed with GGA-PBE.

abc: 4.482 7.059 12.583
angles: 90.00 100.26 90.00
Positions (direct):
Au (0.699, 0.429, 0.399)
Au (0.717, 0.012, 0.435)
Au (0.953, 0.052, 0.905)
Au (0.881, 0.737, 0.762)
Au (0.394, 0.439, 0.789)
Au (0.283, 0.512, 0.565)
Au (0.047, 0.552, 0.095)
Au (0.119, 0.237, 0.238)
Au (0.301, 0.929, 0.601)
Au (0.606, 0.939, 0.211)
Dy (0.481, 0.744, 0.963)
Dy (0.519, 0.244, 0.037)
Dy (0.177, 0.740, 0.354)
Dy (0.823, 0.240, 0.646)
Al (0.603, 0.564, 0.205)
Al (0.054, 0.935, 0.108)
Al (0.776, 0.713, 0.551)
Al (0.397, 0.064, 0.795)
Al (0.946, 0.435, 0.892)
Al (0.224, 0.213, 0.449)

Values from the calculation:
space-group type: No. 36
calculated formation energy: -0.657 eV/atom
spin magnetization: 0.0 μB/cell
E above lowest polymorph: 0.0 meV/atom


7.
A relaxed DyAl2Au7 crystal, computed with GGA-PBE.

abc: 4.696 7.413 7.413
angles: 119.05 90.00 90.00
Positions (direct):
Au (0.500, 0.070, 0.303)
Au (0.000, 0.774, 0.226)
Au (0.500, 0.697, 0.930)
Au (0.500, 0.303, 0.070)
Au (0.000, 0.226, 0.774)
Au (0.500, 0.930, 0.697)
Au (0.500, 0.500, 0.500)
Dy (0.000, 0.000, 0.000)
Al (0.500, 0.701, 0.299)
Al (0.500, 0.299, 0.701)

Values from the calculation:
space-group type: No. 65
calculated formation energy: -0.306 eV/atom
spin magnetization: 0.0 μB/cell


8.
A relaxed Dy4Al3Au crystal, computed with GGA-PBE.

abc: 3.593 3.593 14.498
angles: 90.00 90.00 90.00
Positions (direct):
Al (0.500, 0.500, 0.748)
Al (0.500, 0.500, 0.500)
Al (0.500, 0.500, 0.252)
Dy (0.000, 0.000, 0.876)
Dy (0.000, 0.000, 0.376)
Dy (0.000, 0.000, 0.124)
Dy (0.000, 0.000, 0.624)
Au (0.500, 0.500, 0.000)

Values from the calculation:
space-group type: No. 123
calculated formation energy: -0.500 eV/atom
spin magnetization: 0.0 μB/cell


Number 1: density of states at the Fermi level 0.21 states/eV per atom. Number 2: density of states at the Fermi level 0.32 states/eV per atom. Number 3: density of states at the Fermi level 0.38 states/eV per atom. Number 4: density of states at the Fermi level 0.45 states/eV per atom. Number 5: density of states at the Fermi level 0.51 states/eV per atom. Number 6: density of states at the Fermi level 0.50 states/eV per atom. Number 7: density of states at the Fermi level 0.27 states/eV per atom. Number 8: density of states at the Fermi level 0.63 states/eV per atom.